## CdNiAu2O6 (GGA+U)

Data for crystalline CdNiAu2O6 at its relaxed geometry. Values from VASP.

Geometry as Quantum ESPRESSO input:
```
&SYSTEM
  ibrav = 0, nat = 20, ntyp = 4
/
ATOMIC_SPECIES
Cd 112.41 Cd.upf
Ni 58.69 Ni.upf
Au 196.97 Au.upf
O 16.00 O.upf
ATOMIC_POSITIONS crystal
Cd 0.129 0.871 0.750
Cd 0.871 0.129 0.250
Ni 0.294 0.706 0.250
Ni 0.706 0.294 0.750
Au 0.114 0.398 0.770
Au 0.398 0.114 0.270
Au 0.602 0.886 0.730
Au 0.886 0.602 0.230
O 0.011 0.810 0.349
O 0.190 0.989 0.151
O 0.198 0.414 0.235
O 0.246 0.602 0.920
O 0.398 0.754 0.580
O 0.414 0.198 0.735
O 0.586 0.802 0.265
O 0.602 0.246 0.420
O 0.754 0.398 0.080
O 0.802 0.586 0.765
O 0.810 0.011 0.849
O 0.989 0.190 0.651
CELL_PARAMETERS angstrom
6.272 -3.745 0.000
6.272 3.745 0.000
-2.205 0.000 5.887
```

As for the total moment: 2.9 μB/cell. The density is 7.94 g cm⁻³. Its space-group type is No. 15. Its crystal system is monoclinic. For the electronic total energy, the calculation gives -4.23 eV/atom.